{"formula": "HoMgSn2Pd4", "functional": "PBE", "state": "relaxed", "cell": [[2.333, 1.347, 7.793], [-2.333, 1.347, 7.793], [0.000, -2.694, 7.793]], "species": ["Ho", "Mg", "Sn", "Sn", "Pd", "Pd", "Pd", "Pd"], "fractional_positions": [[0.000, 0.000, 0.000], [0.500, 0.500, 0.500], [0.248, 0.248, 0.248], [0.752, 0.752, 0.752], [0.127, 0.127, 0.127], [0.384, 0.384, 0.384], [0.616, 0.616, 0.616], [0.873, 0.873, 0.873]], "sg": "R-3m, No. 166", "formation_energy_mev_per_atom": -765, "magmom_total_mub_per_fu": 0.0, "n_ef_per_ev_atom": 0.33, "vol_a3_per_cell": 147}